w | Below is an optimized crystal structure of Li3AcAu3, with properties calculated at the PBE level.

Cell: 7.1341 7.1341 7.9598 Å, 63.38 63.38 60.00°
Fractional coordinates of all 14 atoms:
Au 0.1401 0.6769 0.2074
Au 0.0244 0.8599 0.7926
Ac 0.6473 0.6473 0.0581
Li 0.9333 0.3848 0.4185
Au 0.8599 0.3231 0.7926
Au 0.3231 0.0244 0.7926
Ac 0.3527 0.3527 0.9419
Li 0.2635 0.9333 0.4185
Au 0.6769 0.9756 0.2074
Li 0.3848 0.2635 0.4185
Li 0.0667 0.6152 0.5815
Au 0.9756 0.1401 0.2074
Li 0.7365 0.0667 0.5815
Li 0.6152 0.7365 0.5815

Density of states at the Fermi level = 0.61 states/eV/atom

x | Below is an optimized crystal structure of Li3AcAu3, with properties calculated at the PBE level.

Cell: 4.5321 9.0370 9.0368 Å, 120.01 90.00 90.00°
Fractional coordinates of all 14 atoms:
Au 0.2500 0.0584 0.6261
Ac 0.7500 0.3334 0.6667
Au 0.7500 0.4322 0.0583
Ac 0.2500 0.6666 0.3333
Li 0.2500 0.7309 0.7615
Li 0.2500 0.2385 0.9693
Li 0.7500 0.9693 0.7308
Au 0.7500 0.6261 0.5677
Au 0.2500 0.5678 0.9417
Au 0.2500 0.3739 0.4323
Li 0.7500 0.7615 0.0307
Li 0.2500 0.0307 0.2692
Au 0.7500 0.9416 0.3739
Li 0.7500 0.2691 0.2385

Density of states at the Fermi level = 0.14 states/eV/atom

It comes down to x, which is 7.5 kJ/mol of atoms more stable than the next structure.